(1)
DFT (SCAN) results for a crystal of CdSb2Os relaxed with PBEsol.

Structure (CIF):
```
data_CdSb2Os
_symmetry_space_group_name_H-M 'I 4/m m m'
_symmetry_Int_Tables_number 139
_symmetry_space_group_name_Hall '-I 4 2'
_cell_length_a 4.704
_cell_length_b 4.704
_cell_length_c 7.152
_cell_angle_alpha 90.00
_cell_angle_beta 90.00
_cell_angle_gamma 90.00
loop_
_atom_site_label
_atom_site_type_symbol
_atom_site_fract_x
_atom_site_fract_y
_atom_site_fract_z
_atom_site_occupancy
Cd1 Cd 0.000 0.000 0.000 1
Sb1 Sb 0.000 0.500 0.250 1
Os1 Os 0.000 0.000 0.500 1
```

energy above the most stable polymorph in this dataset: 367 meV per atom
energy relative to the elements, uncorrected: 0.61 eV per atom
VASP energy: -348.76 eV/cell
ρ: 11.5 g cm⁻³
density of states at the Fermi level: 0.543 states/eV/atom

(2)
DFT (SCAN) results for a crystal of CdSb2Os relaxed with PBEsol.

Structure (CIF):
```
data_CdSb2Os
_symmetry_space_group_name_H-M 'I -4 2 d'
_symmetry_Int_Tables_number 122
_symmetry_space_group_name_Hall 'I -4 2bw'
_cell_length_a 6.132
_cell_length_b 6.132
_cell_length_c 12.456
_cell_angle_alpha 90.00
_cell_angle_beta 90.00
_cell_angle_gamma 90.00
loop_
_atom_site_label
_atom_site_type_symbol
_atom_site_fract_x
_atom_site_fract_y
_atom_site_fract_z
_atom_site_occupancy
Cd1 Cd 0.000 0.000 0.000 1
Sb1 Sb 0.204 0.250 0.625 1
Os1 Os 0.000 0.000 0.500 1
```

energy above the most stable polymorph in this dataset: 203 meV per atom
energy relative to the elements, uncorrected: 0.44 eV per atom
VASP energy: -700.16 eV/cell
ρ: 7.7 g cm⁻³
density of states at the Fermi level: 0.546 states/eV/atom

(3)
DFT (SCAN) results for a crystal of Cd2SbOs relaxed with PBEsol.

Structure (CIF):
```
data_Cd2SbOs
_symmetry_space_group_name_H-M 'P 4 m m'
_symmetry_Int_Tables_number 99
_cell_length_a 3.118
_cell_length_b 3.118
_cell_length_c 8.398
_cell_angle_alpha 90.00
_cell_angle_beta 90.00
_cell_angle_gamma 90.00
loop_
_symmetry_equiv_pos_as_xyz
'x,y,z'
'-y,x,z'
'-x,-y,z'
'y,-x,z'
'-x,y,z'
'y,x,z'
'x,-y,z'
'-y,-x,z'
loop_
_atom_site_label
_atom_site_type_symbol
_atom_site_fract_x
_atom_site_fract_y
_atom_site_fract_z
_atom_site_occupancy
Cd1 Cd 0.000 0.000 0.000 1
Cd2 Cd 0.500 0.500 0.262 1
Sb1 Sb 0.500 0.500 0.665 1
Os1 Os 0.000 0.000 0.482 1
```

energy relative to the elements, uncorrected: 0.30 eV per atom
VASP energy: -168.78 eV/cell
ρ: 10.9 g cm⁻³
density of states at the Fermi level: 0.405 states/eV/atom

(4)
DFT (SCAN) results for a crystal of Cd2SbOs relaxed with PBEsol.

Structure (CIF):
```
data_Cd2SbOs
_symmetry_space_group_name_H-M 'P 1 2/m 1'
_symmetry_Int_Tables_number 10
_cell_length_a 3.091
_cell_length_b 5.361
_cell_length_c 4.657
_cell_angle_alpha 90.00
_cell_angle_beta 94.28
_cell_angle_gamma 90.00
loop_
_symmetry_equiv_pos_as_xyz
'x,y,z'
'-x,-y,-z'
'-x,y,-z'
'x,-y,z'
loop_
_atom_site_label
_atom_site_type_symbol
_atom_site_fract_x
_atom_site_fract_y
_atom_site_fract_z
_atom_site_occupancy
Cd1 Cd 0.248 0.000 0.244 1
Sb1 Sb 0.500 0.500 0.500 1
Os1 Os 0.000 0.500 0.000 1
```

energy relative to the elements, uncorrected: 0.57 eV per atom
VASP energy: -167.71 eV/cell
ρ: 11.6 g cm⁻³
density of states at the Fermi level: 0.388 states/eV/atom

(5)
DFT (SCAN) results for a crystal of CdSb2TeOs relaxed with PBEsol.

Structure (CIF):
```
data_CdSb2TeOs
_symmetry_space_group_name_H-M 'P 4/m m m'
_symmetry_Int_Tables_number 123
_symmetry_space_group_name_Hall '-P 4 2'
_cell_length_a 4.950
_cell_length_b 4.950
_cell_length_c 5.791
_cell_angle_alpha 90.00
_cell_angle_beta 90.00
_cell_angle_gamma 90.00
loop_
_atom_site_label
_atom_site_type_symbol
_atom_site_fract_x
_atom_site_fract_y
_atom_site_fract_z
_atom_site_occupancy
Cd1 Cd 0.000 0.000 0.000 1
Sb1 Sb 0.000 0.500 0.500 1
Te1 Te 0.500 0.500 0.000 1
Os1 Os 0.500 0.500 0.500 1
```

energy relative to the elements, uncorrected: 0.57 eV per atom
VASP energy: -211.23 eV/cell
ρ: 7.9 g cm⁻³
density of states at the Fermi level: 0.447 states/eV/atom

(6)
DFT (SCAN) results for a crystal of ScCdOs2 relaxed with PBEsol.

Structure (CIF):
```
data_ScCdOs2
_symmetry_space_group_name_H-M 'C m m m'
_symmetry_Int_Tables_number 65
_symmetry_space_group_name_Hall '-C 2 2'
_cell_length_a 5.521
_cell_length_b 7.943
_cell_length_c 2.954
_cell_angle_alpha 90.00
_cell_angle_beta 90.00
_cell_angle_gamma 90.00
loop_
_atom_site_label
_atom_site_type_symbol
_atom_site_fract_x
_atom_site_fract_y
_atom_site_fract_z
_atom_site_occupancy
Sc1 Sc 0.000 0.000 0.000 1
Cd1 Cd 0.000 0.500 0.000 1
Os1 Os 0.250 0.250 0.500 1
```

energy of formation: 0.31 eV per atom
VASP energy: -374.35 eV/cell
ρ: 13.8 g cm⁻³
density of states at the Fermi level: 0.898 states/eV/atom

- Among the records above, which one has the highest density of states at the Fermi level?
  ScCdOs2

Please write out number 4 again, unchanged.
DFT (SCAN) results for a crystal of Cd2SbOs relaxed with PBEsol.

Structure (CIF):
```
data_Cd2SbOs
_symmetry_space_group_name_H-M 'P 1 2/m 1'
_symmetry_Int_Tables_number 10
_cell_length_a 3.091
_cell_length_b 5.361
_cell_length_c 4.657
_cell_angle_alpha 90.00
_cell_angle_beta 94.28
_cell_angle_gamma 90.00
loop_
_symmetry_equiv_pos_as_xyz
'x,y,z'
'-x,-y,-z'
'-x,y,-z'
'x,-y,z'
loop_
_atom_site_label
_atom_site_type_symbol
_atom_site_fract_x
_atom_site_fract_y
_atom_site_fract_z
_atom_site_occupancy
Cd1 Cd 0.248 0.000 0.244 1
Sb1 Sb 0.500 0.500 0.500 1
Os1 Os 0.000 0.500 0.000 1
```

energy relative to the elements, uncorrected: 0.57 eV per atom
VASP energy: -167.71 eV/cell
ρ: 11.6 g cm⁻³
density of states at the Fermi level: 0.388 states/eV/atom